1.
## Zr5GaAu (PBE)

Data for Zr5GaAu after structural relaxation.

The space group is C2/c (No. 15) and the conventional cell measures 10.146, 5.965 and 11.300 Å, with angles of 90.00, 113.30 and 90.00 degrees. Symmetry generates all atoms from Zr at (0.000, 0.019, 0.250), Zr at (0.144, 0.408, 0.505), Zr at (0.232, 0.217, 0.200), Ga at (0.000, 0.000, 0.000) and Au at (0.000, 0.478, 0.750).

---

2.
## Zr3Ga3Au (PBE)

Data for Zr3Ga3Au after structural relaxation.

The space group is C2/m (No. 12) and the conventional cell measures 10.408, 4.082 and 13.406 Å, with angles of 90.00, 108.99 and 90.00 degrees. Symmetry generates all atoms from Zr at (0.015, 0.000, 0.369), Zr at (0.110, 0.000, 0.924), Zr at (0.236, 0.000, 0.221), Ga at (0.011, 0.500, 0.222), Ga at (0.115, 0.500, 0.073), Ga at (0.124, 0.500, 0.546) and Au at (0.231, 0.500, 0.388).

---

3.
## ZrGaAu4 (PBE)

Data for ZrGaAu4 after structural relaxation.

The space group is C2/c (No. 15) and the conventional cell measures 10.296, 4.959 and 8.961 Å, with angles of 90.00, 99.92 and 90.00 degrees. Symmetry generates all atoms from Zr at (0.000, 0.250, 0.250), Ga at (0.250, 0.250, 0.500), Au at (0.012, 0.250, 0.577) and Au at (0.235, 0.237, 0.831).

---

4.
## ZrGaAu6 (PBE)

Data for ZrGaAu6 after structural relaxation.

The space group is C2/m (No. 12) and the conventional cell measures 9.299, 4.303 and 8.039 Å, with angles of 90.00, 114.77 and 90.00 degrees. Symmetry generates all atoms from Zr at (0.000, 0.000, 0.000), Ga at (0.000, 0.000, 0.500), Au at (0.007, 0.500, 0.743), Au at (0.235, 0.000, 0.373) and Au at (0.244, 0.500, 0.127).

---

5.
## Zr2Ga4Au3 (PBE)

Data for Zr2Ga4Au3 after structural relaxation.

The space group is Cmce (No. 64) and the conventional cell measures 5.683, 15.376 and 7.492 Å, with angles of 90.00, 90.00 and 90.00 degrees. Symmetry generates all atoms from Zr at (0.000, 0.093, 0.104), Ga at (0.000, 0.171, 0.475), Ga at (0.250, 0.066, 0.750), Au at (0.000, 0.000, 0.500) and Au at (0.250, 0.237, 0.750).

---

6.
## GdAu3 (PBE)

Data for GdAu3 after structural relaxation.

The space group is I4/mmm (No. 139) and the conventional cell measures 4.066, 4.066 and 11.461 Å, with angles of 90.00, 90.00 and 90.00 degrees. Symmetry generates all atoms from Gd at (0.000, 0.000, 0.000), Au at (0.000, 0.000, 0.259) and Au at (0.000, 0.000, 0.500).

---

7.
## GdAu3 (PBE)

Data for GdAu3 after structural relaxation.

The space group is Pm-3m (No. 221) and the conventional cell measures 4.388, 4.388 and 4.388 Å, with angles of 90.00, 90.00 and 90.00 degrees. Symmetry generates all atoms from Gd at (0.000, 0.000, 0.000) and Au at (0.000, 0.500, 0.500).

---

8.
## GdAu6 (PBE)

Data for GdAu6 after structural relaxation.

The space group is Im-3m (No. 229) and the conventional cell measures 7.406, 7.406 and 7.406 Å, with angles of 90.00, 90.00 and 90.00 degrees. Symmetry generates all atoms from Gd at (0.000, 0.000, 0.000) and Au at (0.000, 0.250, 0.500).

---

9.
## GdAu (PBE)

Data for GdAu after structural relaxation.

The space group is Pm-3m (No. 221) and the conventional cell measures 3.632, 3.632 and 3.632 Å, with angles of 90.00, 90.00 and 90.00 degrees. Symmetry generates all atoms from Gd at (0.000, 0.000, 0.000) and Au at (0.500, 0.500, 0.500).

---

10.
## GdGe2Au (PBE)

Data for GdGe2Au after structural relaxation.

The space group is P4/mmm (No. 123) and the conventional cell measures 4.428, 4.428 and 4.155 Å, with angles of 90.00, 90.00 and 90.00 degrees. Symmetry generates all atoms from Gd at (0.000, 0.000, 0.000), Ge at (0.000, 0.500, 0.500) and Au at (0.500, 0.500, 0.000).

---

11.
## GdGe2Au (PBE)

Data for GdGe2Au after structural relaxation.

The space group is R-3m (No. 166, hexagonal axes) and the conventional cell measures 4.3020, 4.3020 and 15.6653 Å, with angles of 90.00, 90.00 and 120.00 degrees. Symmetry generates all atoms from Gd at (0.0000, 0.0000, 0.0000), Ge at (0.0000, 0.0000, 0.2308) and Au at (0.0000, 0.0000, 0.5000).

---

12.
## GdHgGeAu (PBE)

Data for GdHgGeAu after structural relaxation.

The space group is F-43m (No. 216) and the conventional cell measures 7.082, 7.082 and 7.082 Å, with angles of 90.00, 90.00 and 90.00 degrees. Symmetry generates all atoms from Gd at (0.000, 0.000, 0.000), Hg at (0.250, 0.250, 0.750), Ge at (0.000, 0.000, 0.500) and Au at (0.250, 0.250, 0.250).

---

13.
## GdInGeAu (PBE)

Data for GdInGeAu after structural relaxation.

The space group is F-43m (No. 216) and the conventional cell measures 7.099, 7.099 and 7.099 Å, with angles of 90.00, 90.00 and 90.00 degrees. Symmetry generates all atoms from Gd at (0.000, 0.000, 0.000), In at (0.000, 0.000, 0.500), Ge at (0.250, 0.250, 0.250) and Au at (0.250, 0.250, 0.750).

---

14.
## LaGdGeAu (PBE)

Data for LaGdGeAu after structural relaxation.

The space group is F-43m (No. 216) and the conventional cell measures 7.413, 7.413 and 7.413 Å, with angles of 90.00, 90.00 and 90.00 degrees. Symmetry generates all atoms from La at (0.000, 0.000, 0.000), Gd at (0.000, 0.000, 0.500), Ge at (0.250, 0.250, 0.750) and Au at (0.250, 0.250, 0.250).

---

15.
## GdLuGeAu (PBE)

Data for GdLuGeAu after structural relaxation.

The space group is F-43m (No. 216) and the conventional cell measures 7.144, 7.144 and 7.144 Å, with angles of 90.00, 90.00 and 90.00 degrees. Symmetry generates all atoms from Gd at (0.000, 0.000, 0.000), Lu at (0.000, 0.000, 0.500), Ge at (0.250, 0.250, 0.750) and Au at (0.250, 0.250, 0.250).

---

16.
## GdPaGeAu (PBE)

Data for GdPaGeAu after structural relaxation.

The space group is F-43m (No. 216) and the conventional cell measures 7.237, 7.237 and 7.237 Å, with angles of 90.00, 90.00 and 90.00 degrees. Symmetry generates all atoms from Gd at (0.000, 0.000, 0.000), Pa at (0.000, 0.000, 0.500), Ge at (0.250, 0.250, 0.250) and Au at (0.250, 0.250, 0.750).

---

17.
## PmGdGeAu (PBE)

Data for PmGdGeAu after structural relaxation.

The space group is F-43m (No. 216) and the conventional cell measures 7.306, 7.306 and 7.306 Å, with angles of 90.00, 90.00 and 90.00 degrees. Symmetry generates all atoms from Pm at (0.000, 0.000, 0.000), Gd at (0.000, 0.000, 0.500), Ge at (0.250, 0.250, 0.750) and Au at (0.250, 0.250, 0.250).

---

18.
## GdPuGeAu (PBE)

Data for GdPuGeAu after structural relaxation.

The space group is F-43m (No. 216) and the conventional cell measures 7.243, 7.243 and 7.243 Å, with angles of 90.00, 90.00 and 90.00 degrees. Symmetry generates all atoms from Gd at (0.000, 0.000, 0.000), Pu at (0.000, 0.000, 0.500), Ge at (0.250, 0.250, 0.750) and Au at (0.250, 0.250, 0.250).

---

19.
## GdSnGeAu (PBE)

Data for GdSnGeAu after structural relaxation.

The space group is F-43m (No. 216) and the conventional cell measures 7.165, 7.165 and 7.165 Å, with angles of 90.00, 90.00 and 90.00 degrees. Symmetry generates all atoms from Gd at (0.000, 0.000, 0.000), Sn at (0.000, 0.000, 0.500), Ge at (0.250, 0.250, 0.750) and Au at (0.250, 0.250, 0.250).

---

20.
## TbGdGeAu (PBE)

Data for TbGdGeAu after structural relaxation.

The space group is F-43m (No. 216) and the conventional cell measures 7.224, 7.224 and 7.224 Å, with angles of 90.00, 90.00 and 90.00 degrees. Symmetry generates all atoms from Tb at (0.000, 0.000, 0.000), Gd at (0.000, 0.000, 0.500), Ge at (0.250, 0.250, 0.250) and Au at (0.250, 0.250, 0.750).

---

21.
## GdYGeAu (PBE)

Data for GdYGeAu after structural relaxation.

The space group is F-43m (No. 216) and the conventional cell measures 7.218, 7.218 and 7.218 Å, with angles of 90.00, 90.00 and 90.00 degrees. Symmetry generates all atoms from Gd at (0.000, 0.000, 0.000), Y at (0.000, 0.000, 0.500), Ge at (0.250, 0.250, 0.250) and Au at (0.250, 0.250, 0.750).

---

22.
## GdZnGeAu (PBE)

Data for GdZnGeAu after structural relaxation.

The space group is F-43m (No. 216) and the conventional cell measures 6.877, 6.877 and 6.877 Å, with angles of 90.00, 90.00 and 90.00 degrees. Symmetry generates all atoms from Gd at (0.000, 0.000, 0.000), Zn at (0.000, 0.000, 0.500), Ge at (0.250, 0.250, 0.250) and Au at (0.250, 0.250, 0.750).

---

23.
## Gd2HAu (PBE)

Data for Gd2HAu after structural relaxation.

The space group is R-3m (No. 166, hexagonal axes) and the conventional cell measures 3.4852, 3.4852 and 25.5011 Å, with angles of 90.00, 90.00 and 120.00 degrees. Symmetry generates all atoms from Gd at (0.0000, 0.0000, 0.1123), H at (0.0000, 0.0000, 0.5000) and Au at (0.0000, 0.0000, 0.0000).

---

Asked for final energy across the records above, the calculation gives -197.86 -168.60 -105.19 -66.88 -171.43 -50.10 -25.98 -62.16 -19.02 -28.59 -85.42 -95.66 -106.15 -119.79 -117.98 -132.75 -119.03 -154.66 -110.59 -118.73 -126.18 -100.45 -104.89 eV per cell in order.